Below is a relaxed CsKO2 crystal, with properties calculated at the PBE level.

Lattice parameters (Å, degrees): 7.4798 7.4798 7.4798 30.67 30.67 30.67
Closest atoms and distances in Å follow each position.
Sites, in units of the cell vectors:
Cs: 0.0000 0.0000 0.0000  2 O 2.04
K: 0.5000 0.5000 0.5000  6 O 2.75
O: 0.9046 0.9046 0.9046  1 Cs 2.04
O: 0.0954 0.0954 0.0954  1 Cs 2.04

Calculated values
V = 96.5 Å³/cell
final energy = -3.53 eV per atom
raw formation energy = -0.56 eV per atom

=====

Below is a relaxed SrPr2Pt crystal, with properties calculated at the PBE level.

Lattice parameters (Å, degrees): 3.7186 3.7186 10.0313 90.00 90.00 90.00
Closest atoms and distances in Å follow each position.
Sites, in units of the cell vectors:
Sr: 0.5000 0.5000 0.5000  4 Sr 3.72
Pr: 0.0000 0.0000 0.1661  4 Pt 3.11, 1 Pr 3.33
Pr: 0.0000 0.0000 0.8339  4 Pt 3.11, 1 Pr 3.33
Pt: 0.5000 0.5000 0.0000  8 Pr 3.11

Calculated values
V = 138.7 Å³/cell
final energy = -4.76 eV per atom
calculated formation energy = -439 meV per atom

=====

Below is a relaxed CeNdTm4 crystal, with properties calculated at the PBE level.

Lattice parameters (Å, degrees): 3.5196 10.5378 6.1245 106.78 90.03 59.92
Closest atoms and distances in Å follow each position.
Sites, in units of the cell vectors:
Nd: 0.5000 0.0000 0.5000  2 Nd 3.52, 4 Ce 3.53, 6 Tm 3.54
Tm: 0.9961 0.3358 0.3314  9 Tm 3.48-3.57, 2 Ce 3.53, 1 Nd 3.54
Tm: 0.5032 0.6647 0.1621  9 Tm 3.48-3.57, 1 Ce 3.52, 2 Nd 3.54
Tm: 0.4968 0.3353 0.8379  9 Tm 3.48-3.57, 1 Ce 3.52, 2 Nd 3.54
Tm: 0.0039 0.6642 0.6686  9 Tm 3.48-3.57, 2 Ce 3.53, 1 Nd 3.54
Ce: 0.0000 0.0000 0.0000  6 Tm 3.52-3.53, 2 Ce 3.52, 4 Nd 3.53

Calculated values
V = 185.3 Å³/cell
final energy = -4.71 eV per atom
calculated formation energy = 52 meV per atom

=====

Below is a relaxed OsRuSeBr2 crystal, with properties calculated at the PBE level.

Lattice parameters (Å, degrees): 5.1058 5.1058 4.7198 90.00 90.00 90.00
Closest atoms and distances in Å follow each position.
Sites, in units of the cell vectors:
Se: 0.0000 0.0000 0.5000  2 Ru 2.36
Os: 0.5000 0.5000 0.5000  8 Br 3.48, 4 Se 3.61
Br: 0.5000 0.0000 0.0000  2 Ru 2.55
Br: 0.0000 0.5000 0.0000  2 Ru 2.55
Ru: 0.0000 0.0000 0.0000  2 Se 2.36, 4 Br 2.55

Calculated values
V = 123.0 Å³/cell
final energy = -4.07 eV per atom
raw formation energy = 1.39 eV per atom

=====

Below is a relaxed Ti3AuC crystal, with properties calculated at the PBE level.

Lattice parameters (Å, degrees): 7.8337 7.8337 7.8337 60.00 60.00 60.00
Closest atoms and distances in Å follow each position.
Sites, in units of the cell vectors:
Ti: 0.4422 0.0578 0.4422  2 C 2.10
Ti: 0.0578 0.4422 0.0578  2 C 2.10
Ti: 0.4422 0.0578 0.0578  2 C 2.10
Ti: 0.8078 0.1922 0.8078  2 C 2.10
Ti: 0.1922 0.8078 0.8078  2 C 2.10
Ti: 0.8078 0.8078 0.1922  2 C 2.10
Ti: 0.4422 0.4422 0.0578  2 C 2.10
Ti: 0.0578 0.4422 0.4422  2 C 2.10
Ti: 0.1922 0.1922 0.8078  2 C 2.10
Ti: 0.0578 0.0578 0.4422  2 C 2.10
Ti: 0.8078 0.1922 0.1922  2 C 2.10
Ti: 0.1922 0.8078 0.1922  2 C 2.10
Au: 0.6250 0.6250 0.1250  6 Ti 2.82
Au: 0.6250 0.1250 0.6250  6 Ti 2.82
Au: 0.1250 0.6250 0.6250  6 Ti 2.82
Au: 0.6250 0.6250 0.6250  6 Ti 2.82
C: 0.1250 0.6250 0.1250  6 Ti 2.10
C: 0.6250 0.1250 0.1250  6 Ti 2.10
C: 0.1250 0.1250 0.6250  6 Ti 2.10
C: 0.1250 0.1250 0.1250  6 Ti 2.10

Calculated values
V = 339.9 Å³/cell
final energy = -7.43 eV per atom
calculated formation energy = -193 meV per atom

=====

Below is a relaxed ScPaCuNi crystal, with properties calculated at the PBE level.

Lattice parameters (Å, degrees): 4.7009 4.7009 4.7009 60.00 60.00 60.00
Closest atoms and distances in Å follow each position.
Sites, in units of the cell vectors:
Sc: 0.5000 0.5000 0.5000  4 Cu 2.88, 4 Ni 2.88
Cu: 0.2500 0.2500 0.2500  4 Pa 2.88, 4 Sc 2.88
Ni: 0.7500 0.7500 0.7500  4 Pa 2.88, 4 Sc 2.88
Pa: 0.0000 0.0000 0.0000  4 Ni 2.88, 4 Cu 2.88

Calculated values
V = 73.5 Å³/cell
final energy = -6.55 eV per atom
calculated formation energy = -126 meV per atom

=====

Question: Which of these has the highest V?
Answer: Ti3AuC

=====

Question: V of number 3 (CeNdTm4)?
Answer: 185.3 Å³/cell

=====

Question: The highest final energy belongs to which entry?
Answer: CsKO2

=====

Please write out number 4 again, unchanged.
Below is a relaxed OsRuSeBr2 crystal, with properties calculated at the PBE level.

Lattice parameters (Å, degrees): 5.1058 5.1058 4.7198 90.00 90.00 90.00
Closest atoms and distances in Å follow each position.
Sites, in units of the cell vectors:
Se: 0.0000 0.0000 0.5000  2 Ru 2.36
Os: 0.5000 0.5000 0.5000  8 Br 3.48, 4 Se 3.61
Br: 0.5000 0.0000 0.0000  2 Ru 2.55
Br: 0.0000 0.5000 0.0000  2 Ru 2.55
Ru: 0.0000 0.0000 0.0000  2 Se 2.36, 4 Br 2.55

Calculated values
V = 123.0 Å³/cell
final energy = -4.07 eV per atom
raw formation energy = 1.39 eV per atom